LiRhPb2 | GGA-PBE | optimized geometry

The structure in CIF format:
```
data_LiRhPb2
_space_group_name_H-M_alt 'P 1'
_space_group_IT_number 1
_cell_length_a 4.757
_cell_length_b 4.757
_cell_length_c 5.854
_cell_angle_alpha 79.67
_cell_angle_beta 79.67
_cell_angle_gamma 41.10
loop_
_space_group_symop_operation_xyz
'x,y,z'
loop_
_atom_site_label
_atom_site_type_symbol
_atom_site_fract_x
_atom_site_fract_y
_atom_site_fract_z
Li1 Li 0.250 0.250 0.250
Pb1 Pb 0.009 0.009 0.984
Pb2 Pb 0.491 0.491 0.516
Rh1 Rh 0.750 0.750 0.750
```

electronic total energy = -16.97 eV/cell
calculated volume = 85.5 Å³/cell

---

LiRhPb2 | GGA-PBE | optimized geometry

The structure in CIF format:
```
data_LiRhPb2
_space_group_name_H-M_alt 'P 1'
_space_group_IT_number 1
_cell_length_a 3.432
_cell_length_b 3.426
_cell_length_c 8.915
_cell_angle_alpha 100.73
_cell_angle_beta 90.00
_cell_angle_gamma 120.07
loop_
_space_group_symop_operation_xyz
'x,y,z'
loop_
_atom_site_label
_atom_site_type_symbol
_atom_site_fract_x
_atom_site_fract_y
_atom_site_fract_z
Li1 Li 0.000 0.000 0.500
Rh1 Rh 0.500 0.000 0.000
Pb1 Pb 0.241 0.483 0.230
Pb2 Pb 0.759 0.517 0.770
```

electronic total energy = -16.88 eV/cell
calculated volume = 88.6 Å³/cell

---

LiRhPb2 | GGA-PBE | optimized geometry

The structure in CIF format:
```
data_LiRhPb2
_space_group_name_H-M_alt 'P 1'
_space_group_IT_number 1
_cell_length_a 5.671
_cell_length_b 5.671
_cell_length_c 5.671
_cell_angle_alpha 137.40
_cell_angle_beta 137.40
_cell_angle_gamma 61.82
loop_
_space_group_symop_operation_xyz
'x,y,z'
loop_
_atom_site_label
_atom_site_type_symbol
_atom_site_fract_x
_atom_site_fract_y
_atom_site_fract_z
Li1 Li 0.750 0.250 0.500
Pb1 Pb 0.000 0.000 0.000
Pb2 Pb 0.250 0.750 0.500
Rh1 Rh 0.500 0.500 0.000
```

electronic total energy = -16.78 eV/cell
calculated volume = 82.6 Å³/cell

---

Li4RhPb | GGA-PBE | optimized geometry

The structure in CIF format:
```
data_Li4RhPb
_space_group_name_H-M_alt 'P 1'
_space_group_IT_number 1
_cell_length_a 5.393
_cell_length_b 5.393
_cell_length_c 9.446
_cell_angle_alpha 70.57
_cell_angle_beta 70.57
_cell_angle_gamma 49.08
loop_
_space_group_symop_operation_xyz
'x,y,z'
loop_
_atom_site_label
_atom_site_type_symbol
_atom_site_fract_x
_atom_site_fract_y
_atom_site_fract_z
Li1 Li 0.575 0.075 0.770
Li2 Li 0.194 0.694 0.485
Li3 Li 0.806 0.306 0.515
Li4 Li 0.075 0.575 0.270
Li5 Li 0.925 0.425 0.730
Li6 Li 0.306 0.806 0.015
Li7 Li 0.694 0.194 0.985
Li8 Li 0.425 0.925 0.230
Rh1 Rh 0.750 0.250 0.250
Rh2 Rh 0.250 0.750 0.750
Pb1 Pb 0.500 0.000 0.500
Pb2 Pb 0.000 0.500 0.000
```

calculated volume = 193.2 Å³/cell
offset from the most stable computed form = 2 meV per atom

---

LiRhPb2 | GGA-PBE | optimized geometry

The structure in CIF format:
```
data_LiRhPb2
_space_group_name_H-M_alt 'P 1'
_space_group_IT_number 1
_cell_length_a 3.405
_cell_length_b 3.404
_cell_length_c 7.313
_cell_angle_alpha 90.00
_cell_angle_beta 90.00
_cell_angle_gamma 90.00
loop_
_space_group_symop_operation_xyz
'x,y,z'
loop_
_atom_site_label
_atom_site_type_symbol
_atom_site_fract_x
_atom_site_fract_y
_atom_site_fract_z
Li1 Li 0.500 0.500 0.704
Pb1 Pb 0.000 0.000 0.936
Pb2 Pb 0.500 0.500 0.318
Rh1 Rh 0.000 0.000 0.543
```

electronic total energy = -16.96 eV/cell
calculated volume = 84.8 Å³/cell

---

LiSmRhPb | GGA-PBE | optimized geometry

The structure in CIF format:
```
data_LiSmRhPb
_space_group_name_H-M_alt 'P 1'
_space_group_IT_number 1
_cell_length_a 4.403
_cell_length_b 4.399
_cell_length_c 5.842
_cell_angle_alpha 112.15
_cell_angle_beta 90.00
_cell_angle_gamma 120.03
loop_
_space_group_symop_operation_xyz
'x,y,z'
loop_
_atom_site_label
_atom_site_type_symbol
_atom_site_fract_x
_atom_site_fract_y
_atom_site_fract_z
Li1 Li 0.844 0.688 0.260
Sm1 Sm 0.059 0.117 0.904
Rh1 Rh 0.499 0.998 0.226
Pb1 Pb 0.261 0.521 0.509
```

calculated volume = 88.2 Å³/cell
offset from the most stable computed form = 164 meV per atom